[1]
# NdB4Rh4, optimized geometry, DFT PBE-GGA
# excess energy over the best structure of this formula in the dataset = 31 meV per atom
# formation energy = -549 meV per atom
# energy = -131.65 eV per cell
data_NdB4Rh4
_chemical_formula_sum 'Nd2 B8 Rh8'
_cell_length_a 5.371
_cell_length_b 5.371
_cell_length_c 7.551
_cell_angle_alpha 90.00
_cell_angle_beta 90.00
_cell_angle_gamma 90.00
_symmetry_space_group_name_H-M 'P 42/n m c'
_symmetry_Int_Tables_number 137
loop_
_symmetry_equiv_pos_as_xyz
'x,y,z'
'-x,-y,-z'
'-y+1/2,x,z+1/2'
'y+1/2,-x,-z+1/2'
'-x+1/2,-y+1/2,z'
'x+1/2,y+1/2,-z'
'y,-x+1/2,z+1/2'
'-y,x+1/2,-z+1/2'
'x+1/2,-y,-z'
'-x+1/2,y,z'
'-y,-x,-z+1/2'
'y,x,z+1/2'
'-x,y+1/2,-z'
'x,-y+1/2,z'
'y+1/2,x+1/2,-z+1/2'
'-y+1/2,-x+1/2,z+1/2'
loop_
_atom_site_label
_atom_site_type_symbol
_atom_site_fract_x
_atom_site_fract_y
_atom_site_fract_z
Nd1 Nd 0.250 0.750 0.250
B1 B 0.082 0.250 0.098
Rh1 Rh 0.001 0.750 0.607

[2]
# CsPb6Au3, optimized geometry, DFT PBE-GGA
# formation energy = -82 meV per atom
# energy = -67.51 eV per cell
data_CsPb6Au3
_chemical_formula_sum 'Cs2 Pb12 Au6'
_cell_length_a 7.636
_cell_length_b 7.969
_cell_length_c 11.497
_cell_angle_alpha 90.00
_cell_angle_beta 110.84
_cell_angle_gamma 90.00
_symmetry_space_group_name_H-M 'P 1 21/c 1'
_symmetry_Int_Tables_number 14
loop_
_symmetry_equiv_pos_as_xyz
'x,y,z'
'-x,-y,-z'
'-x,y+1/2,-z+1/2'
'x,-y+1/2,z+1/2'
loop_
_atom_site_label
_atom_site_type_symbol
_atom_site_fract_x
_atom_site_fract_y
_atom_site_fract_z
Cs1 Cs 0.000 0.000 0.000
Pb1 Pb 0.025 0.000 0.660
Pb2 Pb 0.360 0.225 0.333
Pb3 Pb 0.361 0.725 0.833
Au1 Au 0.317 0.501 0.056
Au2 Au 0.500 0.000 0.000

[3]
# La2CoBi2, optimized geometry, DFT PBE-GGA
# formation energy = -342 meV per atom
# energy = -52.87 eV per cell
data_La2CoBi2
_chemical_formula_sum 'La4 Co2 Bi4'
_cell_length_a 7.299
_cell_length_b 7.299
_cell_length_c 5.248
_cell_angle_alpha 90.00
_cell_angle_beta 90.00
_cell_angle_gamma 90.00
_symmetry_space_group_name_H-M 'P 4/m b m'
_symmetry_Int_Tables_number 127
_symmetry_space_group_name_Hall '-P 4 2ab'
loop_
_atom_site_label
_atom_site_type_symbol
_atom_site_fract_x
_atom_site_fract_y
_atom_site_fract_z
La1 La 0.170 0.330 0.000
Co1 Co 0.000 0.000 0.500
Bi1 Bi 0.152 0.652 0.500